The following is a DFT calculation (PBE+U) of an optimized crystal structure of AlNiIO6.

Results
V, Å³/cell: 187
Space group: P4_2nm
Calculated total energy, eV/cell: -96.90
ρ, Mg/m³: 5.47

Geometry as POSCAR:
```
AlNiIO6
1.0
4.580 0.000 0.000
0.000 4.580 0.000
0.000 0.000 8.927
O Al Ni I
12 2 2 2
direct
0.815 0.185 0.499
0.796 0.204 0.824
0.200 0.800 0.177
0.700 0.700 0.677
0.296 0.296 0.324
0.800 0.200 0.177
0.685 0.685 0.999
0.704 0.704 0.324
0.315 0.315 0.999
0.204 0.796 0.824
0.185 0.815 0.499
0.300 0.300 0.677
0.000 0.000 0.669
0.500 0.500 0.169
0.000 0.000 0.998
0.500 0.500 0.498
0.000 0.000 0.333
0.500 0.500 0.833
```